Here is a geometry-optimized SnRu2Se structure from Alexandria via LeMat-Bulk. Energies are from GGA-PBE.

Space group: I-42d
Mass density (Mg/m³): 7.2
Raw total energy (eV for the cell shown): -48.69
Total magnetization (μB/f.u.): 0.00

abc: 5.8372 5.8372 6.8286
angles: 64.70 64.70 90.00
Positions (direct):
Ru  0.5870  0.1250  0.2500
Ru  0.3750  0.4130  0.7500
Ru  0.1630  0.6250  0.2500
Ru  0.8750  0.8370  0.7500
Sn  0.0000  0.0000  0.0000
Sn  0.7500  0.2500  0.5000
Se  0.2500  0.7500  0.5000
Se  0.5000  0.5000  0.0000